1.
{"formula": "Sr4MnRuO8", "functional": "GGA-PBEsol", "state": "optimized geometry", "lattice": [[2.726, -6.191, 0.000], [2.726, 6.191, 0.000], [0.000, 0.000, 5.455]], "species": ["Sr", "Sr", "Sr", "Sr", "Mn", "Ru", "O", "O", "O", "O", "O", "O", "O", "O"], "fractional_positions": [[0.142, 0.858, 0.000], [0.356, 0.644, 0.500], [0.644, 0.356, 0.500], [0.858, 0.142, 0.000], [0.000, 0.000, 0.500], [0.500, 0.500, 0.000], [0.156, 0.844, 0.500], [0.246, 0.246, 0.255], [0.246, 0.246, 0.745], [0.339, 0.661, 0.000], [0.661, 0.339, 0.000], [0.754, 0.754, 0.255], [0.754, 0.754, 0.745], [0.844, 0.156, 0.500]], "de_polymorph_ev_per_atom": 0.0166, "space_group": "No. 65"}

---

2.
{"formula": "Sr2MnRuO6", "functional": "GGA-PBEsol", "state": "optimized geometry", "lattice": [[-2.703, 2.703, 3.911], [2.703, -2.703, 3.911], [2.703, 2.703, -3.911]], "species": ["Sr", "Sr", "Mn", "Ru", "O", "O", "O", "O", "O", "O"], "fractional_positions": [[0.250, 0.750, 0.500], [0.750, 0.250, 0.500], [0.000, 0.000, 0.000], [0.500, 0.500, 0.000], [0.208, 0.284, 0.492], [0.246, 0.246, 0.000], [0.284, 0.792, 0.076], [0.716, 0.208, 0.924], [0.754, 0.754, 0.000], [0.792, 0.716, 0.508]], "space_group": "No. 87"}

---

3.
{"formula": "Sr4MnRuO8", "functional": "GGA-PBEsol", "state": "optimized geometry", "lattice": [[3.811, 0.000, 0.000], [0.000, 3.811, 0.000], [0.000, 0.000, 12.554]], "species": ["Sr", "Sr", "Sr", "Sr", "Mn", "Ru", "O", "O", "O", "O", "O", "O", "O", "O"], "fractional_positions": [[0.000, 0.000, 0.139], [0.000, 0.000, 0.861], [0.500, 0.500, 0.347], [0.500, 0.500, 0.653], [0.500, 0.500, 0.000], [0.000, 0.000, 0.500], [0.000, 0.000, 0.336], [0.000, 0.000, 0.664], [0.000, 0.500, 0.000], [0.000, 0.500, 0.500], [0.500, 0.000, 0.000], [0.500, 0.000, 0.500], [0.500, 0.500, 0.154], [0.500, 0.500, 0.846]], "de_polymorph_ev_per_atom": 0.0000, "space_group": "No. 123"}

---

4.
{"formula": "MnZnRuO2", "functional": "GGA-PBEsol", "state": "optimized geometry", "lattice": [[3.746, 0.000, 0.000], [0.000, 3.746, 0.000], [0.000, 0.000, 4.731]], "species": ["Mn", "Zn", "Ru", "O", "O"], "fractional_positions": [[0.000, 0.000, 0.000], [0.000, 0.000, 0.500], [0.500, 0.500, 0.000], [0.000, 0.500, 0.500], [0.500, 0.000, 0.500]], "space_group": "No. 123"}

---

5.
{"formula": "MnS2O8", "functional": "GGA-PBEsol", "state": "optimized geometry", "lattice": [[3.972, 2.293, 7.273], [-3.972, 2.293, 7.273], [0.000, -4.586, 7.273]], "species": ["Mn", "Mn", "Mn", "S", "S", "S", "S", "S", "S", "O", "O", "O", "O", "O", "O", "O", "O", "O", "O", "O", "O", "O", "O", "O", "O", "O", "O", "O", "O", "O", "O", "O", "O"], "fractional_positions": [[0.000, 0.000, 0.000], [0.200, 0.200, 0.200], [0.692, 0.692, 0.692], [0.089, 0.394, 0.799], [0.307, 0.881, 0.593], [0.394, 0.799, 0.089], [0.593, 0.307, 0.881], [0.799, 0.089, 0.394], [0.881, 0.593, 0.307], [0.095, 0.457, 0.220], [0.133, 0.366, 0.962], [0.134, 0.183, 0.825], [0.172, 0.868, 0.809], [0.183, 0.825, 0.134], [0.209, 0.486, 0.598], [0.220, 0.095, 0.457], [0.326, 0.727, 0.559], [0.366, 0.962, 0.133], [0.457, 0.220, 0.095], [0.486, 0.598, 0.209], [0.512, 0.871, 0.550], [0.513, 0.852, 0.863], [0.550, 0.512, 0.871], [0.559, 0.326, 0.727], [0.598, 0.209, 0.486], [0.727, 0.559, 0.326], [0.809, 0.172, 0.868], [0.825, 0.134, 0.183], [0.852, 0.863, 0.513], [0.863, 0.513, 0.852], [0.868, 0.809, 0.172], [0.871, 0.550, 0.512], [0.962, 0.133, 0.366]], "space_group": "No. 146"}

---

6.
{"formula": "MnSO4", "functional": "GGA-PBEsol", "state": "optimized geometry", "lattice": [[2.634, -4.029, 0.000], [2.634, 4.029, 0.000], [0.000, 0.000, 6.758]], "species": ["Mn", "Mn", "S", "S", "O", "O", "O", "O", "O", "O", "O", "O"], "fractional_positions": [[0.000, 0.000, 0.000], [0.000, 0.000, 0.500], [0.351, 0.649, 0.750], [0.649, 0.351, 0.250], [0.228, 0.308, 0.750], [0.251, 0.749, 0.569], [0.251, 0.749, 0.931], [0.308, 0.228, 0.250], [0.692, 0.772, 0.750], [0.749, 0.251, 0.069], [0.749, 0.251, 0.431], [0.772, 0.692, 0.250]], "space_group": "No. 63"}

---

7.
{"formula": "Mn2SO", "functional": "GGA-PBEsol", "state": "optimized geometry", "lattice": [[5.089, 0.000, 0.000], [0.000, 5.089, 0.000], [0.000, 0.000, 10.017]], "species": ["Mn", "Mn", "Mn", "Mn", "Mn", "Mn", "Mn", "Mn", "S", "S", "S", "S", "O", "O", "O", "O"], "fractional_positions": [[0.191, 0.250, 0.125], [0.250, 0.691, 0.375], [0.250, 0.809, 0.875], [0.309, 0.250, 0.625], [0.691, 0.750, 0.625], [0.750, 0.191, 0.875], [0.750, 0.309, 0.375], [0.809, 0.750, 0.125], [0.000, 0.000, 0.500], [0.000, 0.500, 0.750], [0.500, 0.000, 0.250], [0.500, 0.500, 0.000], [0.000, 0.000, 0.000], [0.000, 0.500, 0.250], [0.500, 0.000, 0.750], [0.500, 0.500, 0.500]], "space_group": "No. 122"}

---

8.
{"formula": "MnSi2SO", "functional": "GGA-PBEsol", "state": "optimized geometry", "lattice": [[4.640, 0.000, 0.000], [0.000, 4.640, 0.000], [0.000, 0.000, 3.337]], "species": ["Mn", "Si", "Si", "S", "O"], "fractional_positions": [[0.000, 0.000, 0.000], [0.000, 0.500, 0.500], [0.500, 0.000, 0.500], [0.500, 0.500, 0.500], [0.500, 0.500, 0.000]], "space_group": "No. 123"}

---

9.
{"formula": "MnSbO4", "functional": "GGA-PBEsol", "state": "optimized geometry", "lattice": [[5.531, 0.000, 0.000], [1.337, 7.730, 0.000], [2.734, 2.486, 6.922]], "species": ["Mn", "Mn", "Mn", "Mn", "Sb", "Sb", "Sb", "Sb", "O", "O", "O", "O", "O", "O", "O", "O", "O", "O", "O", "O", "O", "O", "O", "O"], "fractional_positions": [[0.000, 0.000, 0.000], [0.238, 0.495, 0.249], [0.488, 0.994, 0.498], [0.752, 0.499, 0.750], [0.187, 0.373, 0.936], [0.434, 0.871, 0.186], [0.678, 0.371, 0.438], [0.929, 0.873, 0.688], [0.010, 0.603, 0.801], [0.172, 0.772, 0.133], [0.194, 0.977, 0.732], [0.231, 0.892, 0.447], [0.260, 0.103, 0.051], [0.420, 0.268, 0.385], [0.438, 0.476, 0.995], [0.488, 0.393, 0.698], [0.499, 0.600, 0.302], [0.674, 0.765, 0.638], [0.685, 0.974, 0.245], [0.737, 0.893, 0.948], [0.749, 0.099, 0.552], [0.927, 0.270, 0.885], [0.943, 0.475, 0.482], [0.982, 0.393, 0.197]], "space_group": "No. 1"}

---

10.
{"formula": "MnSbO4", "functional": "GGA-PBEsol", "state": "optimized geometry", "lattice": [[2.790, -4.775, 0.000], [2.790, 4.775, 0.000], [0.000, 0.000, 5.582]], "species": ["Mn", "Mn", "Sb", "Sb", "O", "O", "O", "O", "O", "O", "O", "O"], "fractional_positions": [[0.238, 0.762, 0.750], [0.762, 0.238, 0.250], [0.256, 0.256, 0.000], [0.744, 0.744, 0.500], [0.035, 0.965, 0.750], [0.042, 0.453, 0.017], [0.451, 0.549, 0.750], [0.453, 0.042, 0.983], [0.547, 0.958, 0.483], [0.549, 0.451, 0.250], [0.958, 0.547, 0.517], [0.965, 0.035, 0.250]], "space_group": "No. 20"}

---

For reference, total energy by record: -101.627 -75.679 -101.860 -27.914 -224.529 -87.293 -127.370 -28.692 -175.725 -87.922 eV per cell.